VASP calculation (PBE+U) on VAuO2 after structural relaxation.

Cell lengths 10.6888, 10.6888, 3.1817 Å; angles 90.00, 90.00, 164.53 degrees
Each line ends with the local moment (μB).
Sites, in units of the cell vectors:
O  0.2124  0.7876  0.2500  -0.04
O  0.1198  0.8802  0.7500  -0.04
O  0.7876  0.2124  0.7500  -0.04
O  0.8802  0.1198  0.2500  -0.04
Au  0.0483  0.9517  0.2500  0.04
Au  0.9517  0.0483  0.7500  0.04
V  0.3103  0.6897  0.2500  1.92
V  0.6897  0.3103  0.7500  1.92

Computed properties:
- total magnetization (μB per cell) = 3.98
- calculated total energy (eV/atom) = -6.32